(1)
This record from Alexandria via LeMat-Bulk describes Ti5Cu2S10 after structural relaxation. The functional is GGA-PBE.

```
data_Ti5Cu2S10
_chemical_formula_sum 'Ti5 Cu2 S10'
_symmetry_space_group_name_H-M 'P -1'
_symmetry_Int_Tables_number 2
_cell_length_a 5.894
_cell_length_b 6.820
_cell_length_c 8.334
_cell_angle_alpha 107.61
_cell_angle_beta 110.28
_cell_angle_gamma 90.51
loop_
_symmetry_equiv_pos_as_xyz
'x,y,z'
'-x,-y,-z'
loop_
_atom_site_label
_atom_site_type_symbol
_atom_site_fract_x
_atom_site_fract_y
_atom_site_fract_z
_atom_site_occupancy
Ti1 Ti 0.000 0.000 0.000 1
Ti2 Ti 0.200 0.400 0.403 1
Ti3 Ti 0.397 0.799 0.802 1
Cu1 Cu 0.111 0.716 0.218 1
S1 S 0.020 0.946 0.700 1
S2 S 0.181 0.451 0.699 1
S3 S 0.221 0.350 0.101 1
S4 S 0.383 0.855 0.100 1
S5 S 0.422 0.749 0.506 1
```

Properties
Volume (Å³ per atom): 17.474
Total DFT energy (no corrections) (eV/f.u.): -108.435
Formation energy without anion corrections (eV per atom): -1.147

---

(2)
This record from Alexandria via LeMat-Bulk describes RbBi4Au4 after structural relaxation. The functional is GGA-PBE.

```
data_RbBi4Au4
_chemical_formula_sum 'Rb2 Bi8 Au8'
_symmetry_space_group_name_H-M 'P 42/n m c'
_symmetry_Int_Tables_number 137
_cell_length_a 7.285
_cell_length_b 7.285
_cell_length_c 9.974
_cell_angle_alpha 90.00
_cell_angle_beta 90.00
_cell_angle_gamma 90.00
loop_
_symmetry_equiv_pos_as_xyz
'x,y,z'
'-x,-y,-z'
'-y+1/2,x,z+1/2'
'y+1/2,-x,-z+1/2'
'-x+1/2,-y+1/2,z'
'x+1/2,y+1/2,-z'
'y,-x+1/2,z+1/2'
'-y,x+1/2,-z+1/2'
'x+1/2,-y,-z'
'-x+1/2,y,z'
'-y,-x,-z+1/2'
'y,x,z+1/2'
'-x,y+1/2,-z'
'x,-y+1/2,z'
'y+1/2,x+1/2,-z+1/2'
'-y+1/2,-x+1/2,z+1/2'
loop_
_atom_site_label
_atom_site_type_symbol
_atom_site_fract_x
_atom_site_fract_y
_atom_site_fract_z
_atom_site_occupancy
Rb1 Rb 0.250 0.750 0.250 1
Bi1 Bi 0.007 0.250 0.111 1
Au1 Au 0.057 0.250 0.404 1
```

Properties
Volume (Å³ per atom): 29.405
Total DFT energy (no corrections) (eV/f.u.): -31.066

---

(3)
This record from Alexandria via LeMat-Bulk describes PmPdS2O8 after structural relaxation. The functional is GGA-PBE.

```
data_PmPdS2O8
_chemical_formula_sum 'Pm1 Pd1 S2 O8'
_symmetry_space_group_name_H-M 'P -3 m 1'
_symmetry_Int_Tables_number 164
_symmetry_space_group_name_Hall '-P 3 2"'
_cell_length_a 5.2134
_cell_length_b 5.2134
_cell_length_c 7.4937
_cell_angle_alpha 90.00
_cell_angle_beta 90.00
_cell_angle_gamma 120.00
loop_
_atom_site_label
_atom_site_type_symbol
_atom_site_fract_x
_atom_site_fract_y
_atom_site_fract_z
_atom_site_occupancy
Pm1 Pm 0.0000 0.0000 0.0000 1
Pd1 Pd 0.0000 0.0000 0.5000 1
S1 S 0.3333 0.6667 0.1905 1
O1 O 0.1765 0.3530 0.2521 1
O2 O 0.3333 0.6667 0.9902 1
```

Properties
Volume (Å³ per atom): 14.699
Total DFT energy (no corrections) (eV/f.u.): -76.756
Formation energy without anion corrections (eV per atom): -1.574

---

(4)
This record from Alexandria via LeMat-Bulk describes Pr2Sm3ThP6 after structural relaxation. The functional is GGA-PBE.

```
data_Pr2Sm3ThP6
_chemical_formula_sum 'Pr4 Sm6 Th2 P12'
_symmetry_space_group_name_H-M 'C 1 2/m 1'
_symmetry_Int_Tables_number 12
_cell_length_a 18.049
_cell_length_b 4.148
_cell_length_c 8.292
_cell_angle_alpha 90.00
_cell_angle_beta 103.14
_cell_angle_gamma 90.00
loop_
_symmetry_equiv_pos_as_xyz
'x,y,z'
'-x,-y,-z'
'-x,y,-z'
'x,-y,z'
'x+1/2,y+1/2,z'
'-x+1/2,-y+1/2,-z'
'-x+1/2,y+1/2,-z'
'x+1/2,-y+1/2,z'
loop_
_atom_site_label
_atom_site_type_symbol
_atom_site_fract_x
_atom_site_fract_y
_atom_site_fract_z
_atom_site_occupancy
Pr1 Pr 0.167 0.000 0.335 1
Sm1 Sm 0.000 0.500 0.500 1
Sm2 Sm 0.168 0.000 0.832 1
Th1 Th 0.000 0.500 0.000 1
P1 P 0.001 0.000 0.752 1
P2 P 0.165 0.500 0.587 1
P3 P 0.166 0.500 0.079 1
```

Properties
Volume (Å³ per atom): 25.190
Total DFT energy (no corrections) (eV/f.u.): -82.448

---

(5)
This record from Alexandria via LeMat-Bulk describes LaMoN3 after structural relaxation. The functional is GGA-PBE.

```
data_LaMoN3
_chemical_formula_sum 'La6 Mo6 N18'
_symmetry_space_group_name_H-M 'R -3'
_symmetry_Int_Tables_number 148
_symmetry_space_group_name_Hall '-R 3'
_cell_length_a 5.5838
_cell_length_b 5.5838
_cell_length_c 15.6489
_cell_angle_alpha 90.00
_cell_angle_beta 90.00
_cell_angle_gamma 120.00
loop_
_atom_site_label
_atom_site_type_symbol
_atom_site_fract_x
_atom_site_fract_y
_atom_site_fract_z
_atom_site_occupancy
La1 La 0.0000 0.0000 0.1273 1
Mo1 Mo 0.0000 0.0000 0.3572 1
N1 N 0.0052 0.5839 0.9228 1
```

Properties
Volume (Å³ per atom): 14.085
Total DFT energy (no corrections) (eV/f.u.): -44.317
Formation energy without anion corrections (eV per atom): -0.716

---

(6)
This record from Alexandria via LeMat-Bulk describes CaCeBr6 after structural relaxation. The functional is GGA-PBE.

```
data_CaCeBr6
_chemical_formula_sum 'Ca2 Ce2 Br12'
_symmetry_space_group_name_H-M 'C 1 2/m 1'
_symmetry_Int_Tables_number 12
_cell_length_a 7.115
_cell_length_b 13.038
_cell_length_c 7.120
_cell_angle_alpha 90.00
_cell_angle_beta 106.85
_cell_angle_gamma 90.00
loop_
_symmetry_equiv_pos_as_xyz
'x,y,z'
'-x,-y,-z'
'-x,y,-z'
'x,-y,z'
'x+1/2,y+1/2,z'
'-x+1/2,-y+1/2,-z'
'-x+1/2,y+1/2,-z'
'x+1/2,-y+1/2,z'
loop_
_atom_site_label
_atom_site_type_symbol
_atom_site_fract_x
_atom_site_fract_y
_atom_site_fract_z
_atom_site_occupancy
Ca1 Ca 0.000 0.000 0.000 1
Ce1 Ce 0.000 0.500 0.500 1
Br1 Br 0.240 0.352 0.744 1
Br2 Br 0.247 0.500 0.260 1
```

Properties
Volume (Å³ per atom): 39.507
Energy above the lowest structure with this stoichiometry (meV per atom): 0.0
Total DFT energy (no corrections) (eV/f.u.): -31.770
Formation energy without anion corrections (eV per atom): -1.725

---

(7)
This record from Alexandria via LeMat-Bulk describes NpAgPtO6 after structural relaxation. The functional is GGA-PBE.

```
data_NpAgPtO6
_chemical_formula_sum 'Np2 Ag2 Pt2 O12'
_symmetry_space_group_name_H-M 'P -3 1 c'
_symmetry_Int_Tables_number 163
_symmetry_space_group_name_Hall '-P 3 2c'
_cell_length_a 5.3529
_cell_length_b 5.3529
_cell_length_c 10.2243
_cell_angle_alpha 90.00
_cell_angle_beta 90.00
_cell_angle_gamma 120.00
loop_
_atom_site_label
_atom_site_type_symbol
_atom_site_fract_x
_atom_site_fract_y
_atom_site_fract_z
_atom_site_occupancy
Np1 Np 0.3333 0.6667 0.2500 1
Ag1 Ag 0.0000 0.0000 0.0000 1
Pt1 Pt 0.3333 0.6667 0.7500 1
O1 O 0.0035 0.3570 0.6418 1
```

Properties
Volume (Å³ per atom): 14.095
Total DFT energy (no corrections) (eV/f.u.): -63.865
Formation energy without anion corrections (eV per atom): -1.365

---

(8)
This record from Alexandria via LeMat-Bulk describes LiSnSb2Te after structural relaxation. The functional is GGA-PBE.

```
data_LiSnSb2Te
_chemical_formula_sum 'Li1 Sn1 Sb2 Te1'
_symmetry_space_group_name_H-M 'P 4/m m m'
_symmetry_Int_Tables_number 123
_symmetry_space_group_name_Hall '-P 4 2'
_cell_length_a 5.705
_cell_length_b 5.705
_cell_length_c 5.845
_cell_angle_alpha 90.00
_cell_angle_beta 90.00
_cell_angle_gamma 90.00
loop_
_atom_site_label
_atom_site_type_symbol
_atom_site_fract_x
_atom_site_fract_y
_atom_site_fract_z
_atom_site_occupancy
Li1 Li 0.000 0.000 0.000 1
Sn1 Sn 0.500 0.500 0.500 1
Sb1 Sb 0.000 0.500 0.500 1
Te1 Te 0.500 0.500 0.000 1
```

Properties
Volume (Å³ per atom): 38.052
Energy above the lowest structure with this stoichiometry (meV per atom): 219.1
Total DFT energy (no corrections) (eV/f.u.): -14.976
Formation energy without anion corrections (eV per atom): 0.465

---

(9)
This record from Alexandria via LeMat-Bulk describes KAsSeBr2 after structural relaxation. The functional is GGA-PBE.

```
data_KAsSeBr2
_chemical_formula_sum 'K1 As1 Se1 Br2'
_symmetry_space_group_name_H-M 'P 4/m m m'
_symmetry_Int_Tables_number 123
_symmetry_space_group_name_Hall '-P 4 2'
_cell_length_a 5.994
_cell_length_b 5.994
_cell_length_c 6.682
_cell_angle_alpha 90.00
_cell_angle_beta 90.00
_cell_angle_gamma 90.00
loop_
_atom_site_label
_atom_site_type_symbol
_atom_site_fract_x
_atom_site_fract_y
_atom_site_fract_z
_atom_site_occupancy
K1 K 0.000 0.000 0.000 1
As1 As 0.000 0.000 0.500 1
Se1 Se 0.500 0.500 0.500 1
Br1 Br 0.000 0.500 0.000 1
```

Properties
Volume (Å³ per atom): 48.014
Energy above the lowest structure with this stoichiometry (meV per atom): 1193.0
Total DFT energy (no corrections) (eV/f.u.): -9.772
Formation energy without anion corrections (eV per atom): 0.561

---

(10)
This record from Alexandria via LeMat-Bulk describes La3PbSe2 after structural relaxation. The functional is GGA-PBE.

```
data_La3PbSe2
_chemical_formula_sum 'La6 Pb2 Se4'
_symmetry_space_group_name_H-M 'I m m m'
_symmetry_Int_Tables_number 71
_symmetry_space_group_name_Hall '-I 2 2'
_cell_length_a 4.479
_cell_length_b 6.299
_cell_length_c 13.265
_cell_angle_alpha 90.00
_cell_angle_beta 90.00
_cell_angle_gamma 90.00
loop_
_atom_site_label
_atom_site_type_symbol
_atom_site_fract_x
_atom_site_fract_y
_atom_site_fract_z
_atom_site_occupancy
La1 La 0.000 0.000 0.000 1
La2 La 0.000 0.000 0.325 1
Pb1 Pb 0.000 0.500 0.000 1
Se1 Se 0.000 0.500 0.336 1
```

Properties
Volume (Å³ per atom): 31.191
Total DFT energy (no corrections) (eV/f.u.): -34.646
Formation energy without anion corrections (eV per atom): -1.531

---

(11)
This record from Alexandria via LeMat-Bulk describes K4RbNa3 after structural relaxation. The functional is GGA-PBE.

```
data_K4RbNa3
_chemical_formula_sum 'K8 Rb2 Na6'
_symmetry_space_group_name_H-M 'P m n 21'
_symmetry_Int_Tables_number 31
_cell_length_a 13.297
_cell_length_b 10.694
_cell_length_c 6.779
_cell_angle_alpha 90.00
_cell_angle_beta 90.00
_cell_angle_gamma 90.00
loop_
_symmetry_equiv_pos_as_xyz
'x,y,z'
'-x+1/2,-y,z+1/2'
'-x,y,z'
'x+1/2,-y,z+1/2'
loop_
_atom_site_label
_atom_site_type_symbol
_atom_site_fract_x
_atom_site_fract_y
_atom_site_fract_z
_atom_site_occupancy
K1 K 0.000 0.081 0.000 1
K2 K 0.000 0.663 0.999 1
K3 K 0.240 0.666 0.496 1
Rb1 Rb 0.000 0.356 0.499 1
Na1 Na 0.000 0.896 0.501 1
Na2 Na 0.234 0.083 0.493 1
```

Properties
Volume (Å³ per atom): 60.249
Energy above the lowest structure with this stoichiometry (meV per atom): 3.0
Total DFT energy (no corrections) (eV/f.u.): -9.089

---

(12)
This record from Alexandria via LeMat-Bulk describes TbAs2Pb after structural relaxation. The functional is GGA-PBE.

```
data_TbAs2Pb
_chemical_formula_sum 'Tb3 As6 Pb3'
_symmetry_space_group_name_H-M 'R 3 m'
_symmetry_Int_Tables_number 160
_symmetry_space_group_name_Hall 'R 3 -2"'
_cell_length_a 4.2209
_cell_length_b 4.2209
_cell_length_c 21.4026
_cell_angle_alpha 90.00
_cell_angle_beta 90.00
_cell_angle_gamma 120.00
loop_
_atom_site_label
_atom_site_type_symbol
_atom_site_fract_x
_atom_site_fract_y
_atom_site_fract_z
_atom_site_occupancy
Tb1 Tb 0.0000 0.0000 0.0000 1
As1 As 0.0000 0.0000 0.4084 1
As2 As 0.0000 0.0000 0.5919 1
Pb1 Pb 0.0000 0.0000 0.1709 1
```

Properties
Volume (Å³ per atom): 27.519
Energy above the lowest structure with this stoichiometry (meV per atom): 0.0
Total DFT energy (no corrections) (eV/f.u.): -19.904